# 1
An optimized crystal structure of LiHg4Rh, computed with PBE.

Results
- crystal system = cubic
- Fermi-level density of states (states/eV/f.u.) = 3.034
- energy of formation from the pure elements (eV/atom) = 0.2890
- symmetry = F-43m

a b c (Å): 5.6931 5.6931 5.6931
angles (deg): 60.00 60.00 60.00
Fractional coordinates of all 6 atoms:
Hg 0.3748 0.3748 0.8757
Hg 0.8757 0.3748 0.3748
Li 0.7500 0.7500 0.7500
Hg 0.3748 0.8757 0.3748
Rh 0.0000 0.0000 0.0000
Hg 0.3748 0.3748 0.3748

***

# 2
An optimized crystal structure of Li2HgRh, computed with PBE.

Results
- crystal system = trigonal
- Fermi-level density of states (states/eV/f.u.) = 3.254
- energy of formation from the pure elements (eV/atom) = -0.0943
- symmetry = R3m

a b c (Å): 2.9218 2.9218 9.0974
angles (deg): 80.73 80.73 59.97
Last column: magnetic moment on the atom in μB.
Fractional coordinates of all 4 atoms:
Hg 0.6665 0.6665 0.0007  0.00
Rh 0.4995 0.4995 0.4996  0.21
Li 0.2402 0.2402 0.2799  0.00
Li 0.0938 0.0938 0.7199  0.00

***

Which of these has the highest energy of formation from the pure elements? LiHg4Rh